Entry 1:
Material: InTc2
Method: DFT, PBE
State: relaxed

```
data_InTc2
_chemical_formula_sum 'In2 Tc4'
_space_group_name_H-M_alt 'P 1'
_space_group_IT_number 1
_space_group_name_Hall 'P 1'
_cell_length_a 6.5883
_cell_length_b 6.5883
_cell_length_c 4.1353
_cell_angle_alpha 90.00
_cell_angle_beta 90.00
_cell_angle_gamma 145.80
loop_
_atom_site_label
_atom_site_fract_x
_atom_site_fract_y
_atom_site_fract_z
_atom_site_occupancy
In1 0.0822 0.9178 0.7500 1
In2 0.9178 0.0822 0.2500 1
Tc1 0.2492 0.7508 0.2500 1
Tc2 0.3905 0.6095 0.7500 1
Tc3 0.6095 0.3905 0.2500 1
Tc4 0.7508 0.2492 0.7500 1
```

Output
For the formation energy, the calculation gives 0.286 eV per atom. The mass density comes out at 10.23 g cm⁻³. Its space group is Cmcm.

---

Entry 2:
Material: Tl4TeSe
Method: DFT, PBE
State: relaxed

```
data_Tl4TeSe
_chemical_formula_sum 'Tl8 Te2 Se2'
_space_group_name_H-M_alt 'P 1'
_space_group_IT_number 1
_space_group_name_Hall 'P 1'
_cell_length_a 6.5201
_cell_length_b 7.0971
_cell_length_c 8.9569
_cell_angle_alpha 90.00
_cell_angle_beta 103.42
_cell_angle_gamma 90.00
loop_
_atom_site_label
_atom_site_fract_x
_atom_site_fract_y
_atom_site_fract_z
_atom_site_occupancy
Tl1 0.1691 0.2500 0.0357 1
Tl2 0.1959 0.7500 0.3694 1
Tl3 0.3252 0.5068 0.7384 1
Tl4 0.3252 0.9932 0.7384 1
Tl5 0.6748 0.0068 0.2616 1
Tl6 0.6748 0.4932 0.2616 1
Tl7 0.8041 0.2500 0.6306 1
Tl8 0.8309 0.7500 0.9643 1
Te1 0.3084 0.2500 0.3982 1
Te2 0.6916 0.7500 0.6018 1
Se1 0.3320 0.7500 0.0650 1
Se2 0.6680 0.2500 0.9350 1
```

Output
The value obtained for the distance to the lowest polymorph of the same formula is 0.0000 eV per atom. The mass density comes out at 8.44 g cm⁻³. Its space group is P2_1/m.

---

Entry 3:
Material: SmPtI
Method: DFT, PBE
State: relaxed

```
data_SmPtI
_chemical_formula_sum 'Sm2 Pt2 I2'
_space_group_name_H-M_alt 'P 1'
_space_group_IT_number 1
_space_group_name_Hall 'P 1'
_cell_length_a 3.8659
_cell_length_b 4.5188
_cell_length_c 10.8626
_cell_angle_alpha 85.27
_cell_angle_beta 79.86
_cell_angle_gamma 90.00
loop_
_atom_site_label
_atom_site_fract_x
_atom_site_fract_y
_atom_site_fract_z
_atom_site_occupancy
Sm1 0.0720 0.2785 0.3545 1
Sm2 0.9280 0.7215 0.6455 1
Pt1 0.4632 0.2295 0.5747 1
Pt2 0.5368 0.7705 0.4253 1
I1 0.3336 0.3116 0.8365 1
I2 0.6664 0.6884 0.1635 1
```

Output
The calculation puts the total energy at -5.22 eV per atom. The mass density comes out at 8.43 g cm⁻³. Its space group is P-1.

---

Entry 4:
Material: TiZnCu2
Method: DFT, PBE
State: relaxed

```
data_TiZnCu2
_chemical_formula_sum 'Ti1 Zn1 Cu2'
_space_group_name_H-M_alt 'P 1'
_space_group_IT_number 1
_space_group_name_Hall 'P 1'
_cell_length_a 4.0856
_cell_length_b 4.0856
_cell_length_c 3.3521
_cell_angle_alpha 90.00
_cell_angle_beta 90.00
_cell_angle_gamma 90.00
loop_
_atom_site_label
_atom_site_fract_x
_atom_site_fract_y
_atom_site_fract_z
_atom_site_occupancy
Ti1 0.0000 0.0000 0.0000 1
Zn1 0.5000 0.5000 0.0000 1
Cu1 0.0000 0.5000 0.5000 1
Cu2 0.5000 0.0000 0.5000 1
```

Output
For the formation energy, the calculation gives 0.000 eV per atom. The mass density comes out at 7.13 g cm⁻³. Its space group is P4/mmm.

---

Repeat the fourth record exactly.
Material: TiZnCu2
Method: DFT, PBE
State: relaxed

```
data_TiZnCu2
_chemical_formula_sum 'Ti1 Zn1 Cu2'
_space_group_name_H-M_alt 'P 1'
_space_group_IT_number 1
_space_group_name_Hall 'P 1'
_cell_length_a 4.0856
_cell_length_b 4.0856
_cell_length_c 3.3521
_cell_angle_alpha 90.00
_cell_angle_beta 90.00
_cell_angle_gamma 90.00
loop_
_atom_site_label
_atom_site_fract_x
_atom_site_fract_y
_atom_site_fract_z
_atom_site_occupancy
Ti1 0.0000 0.0000 0.0000 1
Zn1 0.5000 0.5000 0.0000 1
Cu1 0.0000 0.5000 0.5000 1
Cu2 0.5000 0.0000 0.5000 1
```

Output
For the formation energy, the calculation gives 0.000 eV per atom. The mass density comes out at 7.13 g cm⁻³. Its space group is P4/mmm.